# 1
A plane-wave DFT calculation with PBE was carried out for a relaxed structure of Ba2MgSe.

## Properties
- Offset from the most stable computed form: 129 meV per atom
- ΔE_f (raw): -72.3 kJ per mole of atoms

Unit cell a=4.188 b=5.868 c=5.879 alpha=90.00 beta=90.00 gamma=90.00
Fractional coordinates of all 4 atoms:
Ba 0.000 0.000 0.000
Ba 0.000 0.500 0.500
Mg 0.500 0.000 0.500
Se 0.500 0.500 0.000


# 2
A plane-wave DFT calculation with PBE was carried out for a relaxed structure of HfZn2O.

## Properties
- ΔE_f (raw): -65.2 kJ per mole of atoms

Unit cell a=5.869 b=5.869 c=5.869 alpha=97.41 beta=97.41 gamma=137.91
Fractional coordinates of all 8 atoms:
Hf 0.000 0.000 0.000
Hf 0.750 0.250 0.500
Zn 0.194 0.125 0.569
Zn 0.375 0.806 0.931
Zn 0.556 0.625 0.431
Zn 0.875 0.444 0.069
O 0.250 0.750 0.500
O 0.500 0.500 0.000


# 3
A plane-wave DFT calculation with PBE was carried out for a relaxed structure of Ca2PtAuC.

## Properties
- ΔE_f: -0.5191 eV/atom

Unit cell a=5.180 b=5.180 c=3.866 alpha=90.00 beta=90.00 gamma=90.00
Fractional coordinates of all 5 atoms:
Ca 0.000 0.500 0.000
Ca 0.500 0.000 0.000
Pt 0.000 0.000 0.500
Au 0.500 0.500 0.500
C 0.000 0.000 0.000


# 4
A plane-wave DFT calculation with PBE was carried out for a relaxed structure of KLaBe2Cr.

## Properties
- ΔE_f: 1.0396 eV/atom

Unit cell a=4.705 b=4.705 c=5.129 alpha=90.00 beta=90.00 gamma=90.00
Fractional coordinates of all 5 atoms:
K 0.000 0.000 0.000
La 0.500 0.500 0.000
Be 0.000 0.500 0.500
Be 0.500 0.000 0.500
Cr 0.000 0.000 0.500


# 5
A plane-wave DFT calculation with PBE was carried out for a relaxed structure of Y2HfHgIr.

## Properties
- ΔE_f: 0.5968 eV/atom

Unit cell a=5.611 b=5.611 c=4.753 alpha=90.00 beta=90.00 gamma=90.00
Fractional coordinates of all 5 atoms:
Y 0.000 0.500 0.000
Y 0.500 0.000 0.000
Hf 0.000 0.000 0.000
Hg 0.500 0.500 0.500
Ir 0.000 0.000 0.500


# 6
A plane-wave DFT calculation with PBE was carried out for a relaxed structure of AcDy3Ho12.

## Properties
- ΔE_f: 0.0333 eV/atom

Unit cell a=5.026 b=5.026 c=20.116 alpha=90.00 beta=90.00 gamma=90.00
Fractional coordinates of all 16 atoms:
Ac 0.000 0.000 0.000
Dy 0.000 0.000 0.253
Dy 0.000 0.000 0.500
Dy 0.000 0.000 0.747
Ho 0.000 0.500 0.131
Ho 0.000 0.500 0.377
Ho 0.000 0.500 0.623
Ho 0.000 0.500 0.869
Ho 0.500 0.000 0.131
Ho 0.500 0.000 0.377
Ho 0.500 0.000 0.623
Ho 0.500 0.000 0.869
Ho 0.500 0.500 0.000
Ho 0.500 0.500 0.254
Ho 0.500 0.500 0.500
Ho 0.500 0.500 0.746


# 7
A plane-wave DFT calculation with PBE was carried out for a relaxed structure of Tm2Tl5Cl12.

## Properties
- ΔE_f (raw): -139.8 kJ per mole of atoms

Unit cell a=9.364 b=9.364 c=7.502 alpha=102.57 beta=102.57 gamma=63.41
Fractional coordinates of all 19 atoms:
Tm 0.248 0.752 0.000
Tm 0.752 0.248 0.000
Tl 0.143 0.143 0.504
Tl 0.255 0.255 0.994
Tl 0.500 0.500 0.500
Tl 0.745 0.745 0.006
Tl 0.857 0.857 0.496
Cl 0.026 0.026 0.812
Cl 0.038 0.646 0.792
Cl 0.211 0.600 0.245
Cl 0.354 0.962 0.208
Cl 0.400 0.789 0.755
Cl 0.424 0.424 0.820
Cl 0.576 0.576 0.180
Cl 0.600 0.211 0.245
Cl 0.646 0.038 0.792
Cl 0.789 0.400 0.755
Cl 0.962 0.354 0.208
Cl 0.974 0.974 0.188


# 8
A plane-wave DFT calculation with PBE was carried out for a relaxed structure of Ce4ZnIn3.

## Properties
- ΔE_f: -0.3106 eV/atom

Unit cell a=10.094 b=10.094 c=10.094 alpha=153.58 beta=153.58 gamma=37.71
Fractional coordinates of all 8 atoms:
Ce 0.121 0.621 0.500
Ce 0.379 0.879 0.500
Ce 0.621 0.121 0.500
Ce 0.879 0.379 0.500
Zn 0.000 0.000 0.000
In 0.250 0.250 0.000
In 0.500 0.500 0.000
In 0.750 0.750 0.000


Number 1: density 4.34 g/cm3, M_tot 0.00 μB/atom. Number 2: density 8.54 g/cm3, M_tot 0.00 μB/atom. Number 3: density 7.75 g/cm3, M_tot 0.00 μB/atom. Number 4: density 3.63 g/cm3, M_tot 0.60 μB/atom. Number 5: density 8.31 g/cm3, M_tot 0.00 μB/atom. Number 6: density 8.80 g/cm3, M_tot 0.00 μB/atom. Number 7: density 5.21 g/cm3, M_tot 0.00 μB/atom. Number 8: density 7.93 g/cm3, M_tot 0.27 μB/atom.